## CsHoBeCl6 (PBE)

Data for CsHoBeCl6 after structural relaxation.

```
data_CsHoBeCl6
_symmetry_space_group_name_H-M 'P 1'
_symmetry_Int_Tables_number 1
_symmetry_space_group_name_Hall 'P 1'
_cell_length_a 6.5248
_cell_length_b 6.5248
_cell_length_c 7.8134
_cell_angle_alpha 90.00
_cell_angle_beta 90.00
_cell_angle_gamma 120.00
loop_
_atom_site_label
_atom_site_type_symbol
_atom_site_fract_x
_atom_site_fract_y
_atom_site_fract_z
Cs1 Cs 0.0000 0.0000 0.0000
Ho1 Ho 0.6667 0.3333 0.5000
Be1 Be 0.3333 0.6667 0.5000
Cl1 Cl 0.0356 0.3913 0.6770
Cl2 Cl 0.0356 0.6442 0.3230
Cl3 Cl 0.3558 0.3913 0.3230
Cl4 Cl 0.3558 0.9644 0.6770
Cl5 Cl 0.6087 0.6442 0.6770
Cl6 Cl 0.6087 0.9644 0.3230
```

Calculated values
Space group: No. 149
Energy relative to the elements, uncorrected (eV per atom): -1.83
Total magnetization (μB per cell): 0.00

***

## CsBe2InCl6 (PBE)

Data for CsBe2InCl6 after structural relaxation.

```
data_CsBe2InCl6
_symmetry_space_group_name_H-M 'P 1'
_symmetry_Int_Tables_number 1
_symmetry_space_group_name_Hall 'P 1'
_cell_length_a 8.9166
_cell_length_b 8.9166
_cell_length_c 9.6631
_cell_angle_alpha 104.35
_cell_angle_beta 104.35
_cell_angle_gamma 99.93
loop_
_atom_site_label
_atom_site_type_symbol
_atom_site_fract_x
_atom_site_fract_y
_atom_site_fract_z
Cs1 Cs 0.1520 0.8480 0.7500
Cs2 Cs 0.8480 0.1520 0.2500
Be1 Be 0.1411 0.3660 0.7086
Be2 Be 0.3660 0.1411 0.2086
Be3 Be 0.6340 0.8589 0.7914
Be4 Be 0.8589 0.6340 0.2914
In1 In 0.4165 0.5835 0.2500
In2 In 0.5835 0.4165 0.7500
Cl1 Cl 0.0674 0.5983 0.3530
Cl2 Cl 0.1876 0.1986 0.0942
Cl3 Cl 0.1986 0.1876 0.5942
Cl4 Cl 0.3049 0.5214 0.8788
Cl5 Cl 0.4017 0.9326 0.1470
Cl6 Cl 0.4786 0.6951 0.6212
Cl7 Cl 0.5214 0.3049 0.3788
Cl8 Cl 0.5983 0.0674 0.8530
Cl9 Cl 0.6951 0.4786 0.1212
Cl10 Cl 0.8014 0.8124 0.4058
Cl11 Cl 0.8124 0.8014 0.9058
Cl12 Cl 0.9326 0.4017 0.6470
```

Calculated values
Space group: No. 15
Energy relative to the elements, uncorrected (eV per atom): -1.43
Total magnetization (μB per cell): 0.00

***

## CsBeInCl6 (PBE)

Data for CsBeInCl6 after structural relaxation.

```
data_CsBeInCl6
_symmetry_space_group_name_H-M 'P 1'
_symmetry_Int_Tables_number 1
_symmetry_space_group_name_Hall 'P 1'
_cell_length_a 6.3646
_cell_length_b 6.3646
_cell_length_c 7.8843
_cell_angle_alpha 90.06
_cell_angle_beta 90.06
_cell_angle_gamma 119.90
loop_
_atom_site_label
_atom_site_type_symbol
_atom_site_fract_x
_atom_site_fract_y
_atom_site_fract_z
Cs1 Cs 0.0000 0.0000 0.0000
Be1 Be 0.3326 0.6674 0.5000
In1 In 0.6665 0.3335 0.5000
Cl1 Cl 0.0275 0.3867 0.6744
Cl2 Cl 0.0276 0.6418 0.3266
Cl3 Cl 0.3583 0.3867 0.3259
Cl4 Cl 0.3582 0.9724 0.6734
Cl5 Cl 0.6133 0.6417 0.6741
Cl6 Cl 0.6133 0.9725 0.3256
```

Calculated values
Space group: No. 5
Energy relative to the elements, uncorrected (eV per atom): -1.32
Total magnetization (μB per cell): 0.00

***

## CsLiBeCl4 (PBE)

Data for CsLiBeCl4 after structural relaxation.

```
data_CsLiBeCl4
_symmetry_space_group_name_H-M 'P 1'
_symmetry_Int_Tables_number 1
_symmetry_space_group_name_Hall 'P 1'
_cell_length_a 5.8959
_cell_length_b 7.0240
_cell_length_c 9.4756
_cell_angle_alpha 90.00
_cell_angle_beta 107.34
_cell_angle_gamma 90.00
loop_
_atom_site_label
_atom_site_type_symbol
_atom_site_fract_x
_atom_site_fract_y
_atom_site_fract_z
Cs1 Cs 0.2328 0.2500 0.3633
Cs2 Cs 0.7672 0.7500 0.6367
Li1 Li 0.3805 0.7500 0.0137
Li2 Li 0.6195 0.2500 0.9863
Be1 Be 0.1274 0.2500 0.7941
Be2 Be 0.8726 0.7500 0.2059
Cl1 Cl 0.0144 0.2500 0.9739
Cl2 Cl 0.1380 0.7500 0.3971
Cl3 Cl 0.3479 0.0167 0.8060
Cl4 Cl 0.3479 0.4833 0.8060
Cl5 Cl 0.6521 0.5167 0.1940
Cl6 Cl 0.6521 0.9833 0.1940
Cl7 Cl 0.8620 0.2500 0.6029
Cl8 Cl 0.9856 0.7500 0.0261
```

Calculated values
Space group: No. 11
Energy relative to the elements, uncorrected (eV per atom): -1.73
Total magnetization (μB per cell): 0.00

***

## Cs2MgBeCl6 (PBE)

Data for Cs2MgBeCl6 after structural relaxation.

```
data_Cs2MgBeCl6
_symmetry_space_group_name_H-M 'P 1'
_symmetry_Int_Tables_number 1
_symmetry_space_group_name_Hall 'P 1'
_cell_length_a 7.4832
_cell_length_b 7.4832
_cell_length_c 7.4832
_cell_angle_alpha 124.72
_cell_angle_beta 124.72
_cell_angle_gamma 82.00
loop_
_atom_site_label
_atom_site_type_symbol
_atom_site_fract_x
_atom_site_fract_y
_atom_site_fract_z
Cs1 Cs 0.2500 0.7500 0.5000
Cs2 Cs 0.7500 0.2500 0.5000
Mg1 Mg 0.0000 0.0000 0.0000
Be1 Be 0.5000 0.5000 0.0000
Cl1 Cl 0.2095 0.2095 0.0000
Cl2 Cl 0.2781 0.2781 0.5562
Cl3 Cl 0.2781 0.7219 0.0000
Cl4 Cl 0.7219 0.2781 0.0000
Cl5 Cl 0.7219 0.7219 0.4438
Cl6 Cl 0.7905 0.7905 0.0000
```

Calculated values
Space group: No. 139
Energy relative to the elements, uncorrected (eV per atom): -1.65
Total magnetization (μB per cell): 0.00

***

## CsMnBe2Cl8 (PBE)

Data for CsMnBe2Cl8 after structural relaxation.

```
data_CsMnBe2Cl8
_symmetry_space_group_name_H-M 'P 1'
_symmetry_Int_Tables_number 1
_symmetry_space_group_name_Hall 'P 1'
_cell_length_a 10.7372
_cell_length_b 10.7372
_cell_length_c 10.7372
_cell_angle_alpha 32.56
_cell_angle_beta 32.56
_cell_angle_gamma 32.56
loop_
_atom_site_label
_atom_site_type_symbol
_atom_site_fract_x
_atom_site_fract_y
_atom_site_fract_z
Cs1 Cs 0.0000 0.0000 0.0000
Mn1 Mn 0.5000 0.5000 0.5000
Be1 Be 0.2343 0.2343 0.2343
Be2 Be 0.7657 0.7657 0.7657
Cl1 Cl 0.1212 0.7685 0.4701
Cl2 Cl 0.2315 0.5299 0.8788
Cl3 Cl 0.2990 0.2990 0.2990
Cl4 Cl 0.4701 0.1212 0.7685
Cl5 Cl 0.5299 0.8788 0.2315
Cl6 Cl 0.7010 0.7010 0.7010
Cl7 Cl 0.7685 0.4701 0.1212
Cl8 Cl 0.8788 0.2315 0.5299
```

Calculated values
Space group: No. 148
Energy relative to the elements, uncorrected (eV per atom): -1.33
Total magnetization (μB per cell): 4.00

***

## Cs2NaBeCl6 (PBE)

Data for Cs2NaBeCl6 after structural relaxation.

```
data_Cs2NaBeCl6
_symmetry_space_group_name_H-M 'P 1'
_symmetry_Int_Tables_number 1
_symmetry_space_group_name_Hall 'P 1'
_cell_length_a 7.3055
_cell_length_b 7.3055
_cell_length_c 7.3055
_cell_angle_alpha 60.00
_cell_angle_beta 60.00
_cell_angle_gamma 60.00
loop_
_atom_site_label
_atom_site_type_symbol
_atom_site_fract_x
_atom_site_fract_y
_atom_site_fract_z
Cs1 Cs 0.2500 0.2500 0.2500
Cs2 Cs 0.7500 0.7500 0.7500
Na1 Na 0.0000 0.0000 0.0000
Be1 Be 0.5000 0.5000 0.5000
Cl1 Cl 0.2768 0.2768 0.7232
Cl2 Cl 0.2768 0.7232 0.2768
Cl3 Cl 0.2768 0.7232 0.7232
Cl4 Cl 0.7232 0.2768 0.2768
Cl5 Cl 0.7232 0.2768 0.7232
Cl6 Cl 0.7232 0.7232 0.2768
```

Calculated values
Space group: No. 225
Energy relative to the elements, uncorrected (eV per atom): -1.43
Total magnetization (μB per cell): 1.00

***

## CsBeNbCl2 (PBE)

Data for CsBeNbCl2 after structural relaxation.

```
data_CsBeNbCl2
_symmetry_space_group_name_H-M 'P 1'
_symmetry_Int_Tables_number 1
_symmetry_space_group_name_Hall 'P 1'
_cell_length_a 5.0636
_cell_length_b 5.0636
_cell_length_c 7.3016
_cell_angle_alpha 90.00
_cell_angle_beta 90.00
_cell_angle_gamma 90.00
loop_
_atom_site_label
_atom_site_type_symbol
_atom_site_fract_x
_atom_site_fract_y
_atom_site_fract_z
Cs1 Cs 0.0000 0.0000 0.0000
Be1 Be 0.5000 0.5000 0.0000
Nb1 Nb 0.0000 0.0000 0.5000
Cl1 Cl 0.0000 0.5000 0.5000
Cl2 Cl 0.5000 0.0000 0.5000
```

Calculated values
Space group: No. 123
Energy relative to the elements, uncorrected (eV per atom): 0.35
Total magnetization (μB per cell): 3.20

***

## Cs2BeNiCl6 (PBE)

Data for Cs2BeNiCl6 after structural relaxation.

```
data_Cs2BeNiCl6
_symmetry_space_group_name_H-M 'P 1'
_symmetry_Int_Tables_number 1
_symmetry_space_group_name_Hall 'P 1'
_cell_length_a 7.4052
_cell_length_b 7.4052
_cell_length_c 7.4052
_cell_angle_alpha 124.82
_cell_angle_beta 124.82
_cell_angle_gamma 81.83
loop_
_atom_site_label
_atom_site_type_symbol
_atom_site_fract_x
_atom_site_fract_y
_atom_site_fract_z
Cs1 Cs 0.2500 0.7500 0.5000
Cs2 Cs 0.7500 0.2500 0.5000
Be1 Be 0.0000 0.0000 0.0000
Ni1 Ni 0.5000 0.5000 0.0000
Cl1 Cl 0.2245 0.2245 0.4489
Cl2 Cl 0.2245 0.7755 0.0000
Cl3 Cl 0.2993 0.2993 0.0000
Cl4 Cl 0.7007 0.7007 0.0000
Cl5 Cl 0.7755 0.2245 0.0000
Cl6 Cl 0.7755 0.7755 0.5511
```

Calculated values
Space group: No. 139
Energy relative to the elements, uncorrected (eV per atom): -1.22
Total magnetization (μB per cell): 2.00

***

## CsBePCl2 (PBE)

Data for CsBePCl2 after structural relaxation.

```
data_CsBePCl2
_symmetry_space_group_name_H-M 'P 1'
_symmetry_Int_Tables_number 1
_symmetry_space_group_name_Hall 'P 1'
_cell_length_a 5.4192
_cell_length_b 5.4192
_cell_length_c 4.3197
_cell_angle_alpha 90.00
_cell_angle_beta 90.00
_cell_angle_gamma 90.00
loop_
_atom_site_label
_atom_site_type_symbol
_atom_site_fract_x
_atom_site_fract_y
_atom_site_fract_z
Cs1 Cs 0.0000 0.0000 0.0000
Be1 Be 0.5000 0.5000 0.5000
P1 P 0.5000 0.5000 0.0000
Cl1 Cl 0.0000 0.5000 0.5000
Cl2 Cl 0.5000 0.0000 0.5000
```

Calculated values
Space group: No. 123
Energy relative to the elements, uncorrected (eV per atom): -0.56
Total magnetization (μB per cell): 2.01